## Tl2CrCu (SCAN)

Data for a PBEsol-optimized structure of Tl2CrCu.

Uncorrected energy   -1.623 Ha/atom
Crystal system   trigonal
Distance to the lowest polymorph of the same formula   0 meV/atom
ΔH_f (0 K)   1.68 eV per formula unit

Cell lengths 3.2630, 3.2630, 25.3394 Å; angles 90.00, 90.00, 120.00 degrees
Space group R-3m (No. 166, hexagonal axes)
Unique sites:
Tl 0.0000 0.0000 0.2461 (multiplicity 6)
Cr 0.0000 0.0000 0.0000 (multiplicity 3)
Cu 0.0000 0.0000 0.5000 (multiplicity 3)